First-principles (GGA+U) data for a relaxed Rb2FePF6 crystal, as listed in Alexandria.

The structure in POSCAR format:
```
Rb2FePF6
1.0
5.840 0.000 0.000
0.000 5.840 0.000
2.920 2.920 5.188
Rb P F Fe
2 1 6 1
direct
0.250 0.750 0.500
0.750 0.250 0.500
0.500 0.500 0.000
0.265 0.265 0.000
0.735 0.735 0.000
0.265 0.735 0.000
0.810 0.810 0.379
0.735 0.265 0.000
0.190 0.190 0.621
0.000 0.000 0.000
```

Computed properties:
Magnetization = 0.5000 μB/atom
Crystal system = tetragonal
Total energy = -4.681 eV per atom
DOS at the Fermi energy = 0.0000 states/eV/atom